# CsGa2Te2 | Alexandria | PBE | relaxed
data_CsGa2Te2
_space_group_name_H-M_alt 'I 4/m m m'
_space_group_IT_number 139
_space_group_name_Hall '-I 4 2'
_cell_length_a 5.614
_cell_length_b 5.614
_cell_length_c 10.265
_cell_angle_alpha 90.00
_cell_angle_beta 90.00
_cell_angle_gamma 90.00
loop_
_atom_site_label
_atom_site_type_symbol
_atom_site_fract_x
_atom_site_fract_y
_atom_site_fract_z
Cs1 Cs 0.000 0.000 0.000
Ga1 Ga 0.000 0.000 0.360
Te1 Te 0.000 0.500 0.250
# Total moment = 0.00 μB per cell
# Uncorrected energy = -30.36 eV per cell
# Formation energy (no corrections) = -2.0 eV per formula unit
# Distance to the lowest polymorph of the same formula = 0.248 eV per formula unit